# MgIn | the Alexandria database | meta-GGA SCAN | single point on PBEsol structure
# Size of the total moment (μB/atom): 0.000
# Calculated volume (Å³/f.u.): 46.7
# DOS at the Fermi energy (states/eV/atom): 0.4344
# Energy of formation (eV/atom): -0.054
# Electronic total energy (eV per atom): -19.2340
data_MgIn
_chemical_formula_sum 'Mg2 In2'
_space_group_name_H-M_alt 'P 4/n m m'
_space_group_IT_number 129
_cell_length_a 3.279
_cell_length_b 3.279
_cell_length_c 8.694
_cell_angle_alpha 90.00
_cell_angle_beta 90.00
_cell_angle_gamma 90.00
loop_
_space_group_symop_operation_xyz
'x,y,z'
'-x,-y,-z'
'-y+1/2,x,z'
'y+1/2,-x,-z'
'-x+1/2,-y+1/2,z'
'x+1/2,y+1/2,-z'
'y,-x+1/2,z'
'-y,x+1/2,-z'
'x+1/2,-y,-z'
'-x+1/2,y,z'
'-y,-x,-z'
'y,x,z'
'-x,y+1/2,-z'
'x,-y+1/2,z'
'y+1/2,x+1/2,-z'
'-y+1/2,-x+1/2,z'
loop_
_atom_site_label
_atom_site_fract_x
_atom_site_fract_y
_atom_site_fract_z
Mg1 0.250 0.250 0.124
In1 0.250 0.250 0.632